(1)
The following is a DFT calculation (PBE-GGA) of a geometry-optimized FeCl structure.

POSCAR file:
```
FeCl
1.0
3.2221 0.0000 0.0000
0.0000 3.5754 0.0095
0.0000 5.1805 7.1042
Cl Fe
2 2
Direct
0.7500 0.5981 0.2659 Cl
0.2500 0.4019 0.7341 Cl
0.2500 0.1580 0.0564 Fe
0.7500 0.8420 0.9436 Fe
```

(2)
The following is a DFT calculation (PBE-GGA) of a geometry-optimized Fe2Cl structure.

POSCAR file:
```
Fe2Cl
1.0
-2.9574 0.2836 -0.7541
1.0271 -2.6193 1.2165
-1.1027 1.9096 5.0428
Fe Cl
2 1
Direct
0.3333 0.6667 0.3518 Fe
0.6667 0.3333 0.6482 Fe
0.0000 0.0000 0.0000 Cl
```

(3)
The following is a DFT calculation (PBE-GGA) of a geometry-optimized FeCl structure.

POSCAR file:
```
FeCl
1.0
4.8180 0.0000 0.0000
0.0000 4.8180 0.0000
0.0000 0.0000 3.1044
Fe Cl
2 2
Direct
0.2500 0.2500 0.0040 Fe
0.7500 0.7500 0.9960 Fe
0.7500 0.2500 0.0000 Cl
0.2500 0.7500 0.0000 Cl
```

no.,raw total energy (eV/atom),ΔE_f (raw) (kJ/mol of atoms)
1,-5.342,-18
2,-6.077,17
3,-4.851,29